Record 1
This record from Alexandria describes Ba5S4I after structural relaxation. The functional is PBE.

a = 8.0453 Å, b = 8.0453 Å, c = 11.4450 Å
α = 118.59°, β = 118.59°, γ = 33.22°
With the nearest neighbours (Å) after each atom.
Sites, in units of the cell vectors:
Ba 0.0000 0.0000 0.0000  6 S 3.26-3.30
Ba 0.2093 0.2093 0.8198  5 S 3.14-3.26, 1 I 3.47
Ba 0.3872 0.3872 0.6170  4 S 3.12-3.31
Ba 0.6128 0.6128 0.3830  4 S 3.12-3.31
Ba 0.7907 0.7907 0.1802  5 S 3.14-3.26, 1 I 3.47
S 0.2061 0.2061 0.2973  6 Ba 3.12-3.31
S 0.4042 0.4042 0.1044  6 Ba 3.14-3.26
S 0.5958 0.5958 0.8956  6 Ba 3.14-3.26
S 0.7939 0.7939 0.7027  6 Ba 3.12-3.31
I 0.0000 0.0000 0.5000  6 Ba 3.47-3.53

Calculated values
volume	352	Å³ per cell
E_form (uncorrected)	-1931	meV per atom

---

Record 2
This record from Alexandria describes BaSbSI2 after structural relaxation. The functional is PBE.

a = 6.5651 Å, b = 6.5651 Å, c = 7.1543 Å
α = 90.00°, β = 90.00°, γ = 90.00°
With the nearest neighbours (Å) after each atom.
Sites, in units of the cell vectors:
Ba 0.0000 0.0000 0.0000  4 I 3.28, 2 Sb 3.58
Sb 0.0000 0.0000 0.5000  2 Ba 3.58
S 0.5000 0.5000 0.5000  4 Sb 4.64, 8 I 4.86
I 0.0000 0.5000 0.0000  2 Ba 3.28
I 0.5000 0.0000 0.0000  2 Ba 3.28

Calculated values
volume	308	Å³ per cell
energy above the lowest structure with this stoichiometry	16.22	kcal/mol of atoms
E_form (uncorrected)	295	meV per atom